Record 1
Density functional theory data (PBE) for a relaxed TlRePb crystal.

Computed properties:
As for the magnetic moment: 0.000 μB per cell. Its volume is 64 Å³ per cell. As for the space group: No. 107. The formation enthalpy at 0 K comes out at 1.03 eV/atom. For the density of states at the Fermi level, the calculation gives 0.586 states/eV/atom. As for the final energy: -5.140 eV per atom.

abc: 5.564 5.564 5.564
angles: 142.17 142.17 54.57
Atoms (fractional coordinates):
Tl: 0.000 0.000 0.000
Re: 0.342 0.342 0.000
Pb: 0.693 0.693 0.000


Record 2
Density functional theory data (PBE) for a relaxed LaNi3As crystal.

Computed properties:
As for the magnetic moment: 0.000 μB per cell. Its volume is 90 Å³ per cell. As for the space group: No. 221. The formation enthalpy at 0 K comes out at -0.27 eV/atom. For the density of states at the Fermi level, the calculation gives 0.248 states/eV/atom. As for the final energy: -5.656 eV per atom.

abc: 4.481 4.481 4.481
angles: 90.00 90.00 90.00
Atoms (fractional coordinates):
La: 0.000 0.000 0.000
Ni: 0.000 0.500 0.500
Ni: 0.500 0.000 0.500
Ni: 0.500 0.500 0.000
As: 0.500 0.500 0.500


Record 3
Density functional theory data (PBE) for a relaxed PrDyHo3Sc crystal.

Computed properties:
As for the magnetic moment: 0.000 μB per cell. Its volume is 369 Å³ per cell. As for the space group: No. 63. The formation enthalpy at 0 K comes out at 0.04 eV/atom. For the density of states at the Fermi level, the calculation gives 1.497 states/eV/atom. As for the final energy: -4.867 eV per atom.

abc: 7.852 7.852 9.977
angles: 90.00 90.00 143.09
Atoms (fractional coordinates):
Pr: 0.002 0.998 0.750
Pr: 0.998 0.002 0.250
Dy: 0.500 0.500 0.000
Dy: 0.500 0.500 0.500
Ho: 0.168 0.832 0.000
Ho: 0.168 0.832 0.500
Ho: 0.330 0.670 0.750
Ho: 0.670 0.330 0.250
Ho: 0.832 0.168 0.000
Ho: 0.832 0.168 0.500
Sc: 0.331 0.669 0.250
Sc: 0.669 0.331 0.750


Record 4
Density functional theory data (PBE) for a relaxed Ac2GeI crystal.

Computed properties:
The raw formation energy is -1013 meV per atom. As for the magnetic moment: 0.000 μB per cell. Its volume is 151 Å³ per cell. As for the space group: No. 166. For the density of states at the Fermi level, the calculation gives 0.447 states/eV/atom. As for the final energy: -4.609 eV per atom.

abc: 8.518 8.518 8.518
angles: 31.59 31.59 31.59
Atoms (fractional coordinates):
Ac: 0.234 0.234 0.234
Ac: 0.766 0.766 0.766
Ge: 0.500 0.500 0.500
I: 0.000 0.000 0.000


Record 5
Density functional theory data (PBE) for a relaxed Zn2HPdRh crystal.

Computed properties:
As for the magnetic moment: 0.000 μB per cell. Its volume is 60 Å³ per cell. As for the space group: No. 123. For the density of states at the Fermi level, the calculation gives 0.330 states/eV/atom. As for the final energy: -3.887 eV per atom.

abc: 4.219 4.219 3.395
angles: 90.00 90.00 90.00
Atoms (fractional coordinates):
Zn: 0.000 0.500 0.000
Zn: 0.500 0.000 0.000
H: 0.000 0.000 0.000
Pd: 0.000 0.000 0.500
Rh: 0.500 0.500 0.500


Record 6
Density functional theory data (PBE) for a relaxed Cu2BiOs crystal.

Computed properties:
As for the magnetic moment: 0.000 μB per cell. Its volume is 144 Å³ per cell. As for the space group: No. 122. The formation enthalpy at 0 K comes out at 0.83 eV/atom. For the density of states at the Fermi level, the calculation gives 0.727 states/eV/atom. As for the final energy: -4.992 eV per atom.

abc: 9.721 9.721 9.721
angles: 156.63 156.63 33.29
Atoms (fractional coordinates):
Cu: 0.062 0.625 0.937
Cu: 0.375 0.312 0.437
Cu: 0.688 0.125 0.063
Cu: 0.875 0.938 0.563
Bi: 0.250 0.750 0.500
Bi: 0.500 0.500 0.000
Os: 0.000 0.000 0.000
Os: 0.750 0.250 0.500


Record 7
Density functional theory data (PBE) for a relaxed TlCr2Ag crystal.

Computed properties:
As for the magnetic moment: 8.061 μB per cell. Its volume is 78 Å³ per cell. As for the space group: No. 166. The formation enthalpy at 0 K comes out at 0.75 eV/atom. For the density of states at the Fermi level, the calculation gives 0.786 states/eV/atom. As for the final energy: -5.368 eV per atom.

abc: 9.213 9.213 9.213
angles: 19.79 19.79 19.79
Atoms (fractional coordinates):
Tl: 0.000 0.000 0.000
Cr: 0.248 0.248 0.248
Cr: 0.752 0.752 0.752
Ag: 0.500 0.500 0.500


Record 8
Density functional theory data (PBE) for a relaxed CePrBiN crystal.

Computed properties:
The raw formation energy is -1149 meV per atom. As for the magnetic moment: 1.422 μB per cell. Its volume is 211 Å³ per cell. As for the space group: No. 129. For the density of states at the Fermi level, the calculation gives 1.487 states/eV/atom. As for the final energy: -6.879 eV per atom.

abc: 4.774 4.774 9.262
angles: 90.00 90.00 90.00
Atoms (fractional coordinates):
Ce: 0.250 0.250 0.176
Ce: 0.750 0.750 0.824
Pr: 0.250 0.750 0.500
Pr: 0.750 0.250 0.500
Bi: 0.250 0.250 0.805
Bi: 0.750 0.750 0.195
N: 0.250 0.250 0.406
N: 0.750 0.750 0.594